1.
Computed, not measured: a relaxed structure of CdFeAsIr at the GGA-PBE level of DFT.

Calculated values
Offset from the most stable computed form = 0.000 eV per atom

Cell lengths 4.459, 4.459, 4.459 Å; angles 60.00, 60.00, 60.00 degrees
Positions (direct):
Fe  0.750  0.750  0.750
Ir  0.250  0.250  0.250
As  0.000  0.000  0.000
Cd  0.500  0.500  0.500


2.
Computed, not measured: a relaxed structure of TbYTl6 at the GGA-PBE level of DFT.

Calculated values
E_tot = -3.3920 eV/atom

Cell lengths 4.749, 4.749, 9.497 Å; angles 90.00, 90.00, 90.00 degrees
Positions (direct):
Tb  0.000  0.000  0.500
Tl  0.000  0.500  0.750
Y  0.000  0.000  0.000
Tl  0.000  0.500  0.250
Tl  0.500  0.000  0.250
Tl  0.500  0.500  0.500
Tl  0.500  0.500  0.000
Tl  0.500  0.000  0.750


3.
Computed, not measured: a relaxed structure of YZrAlCo at the GGA-PBE level of DFT.

Calculated values
Offset from the most stable computed form = 0.000 eV per atom

Cell lengths 4.718, 4.718, 4.718 Å; angles 60.00, 60.00, 60.00 degrees
Positions (direct):
Zr  0.500  0.500  0.500
Co  0.750  0.750  0.750
Al  0.000  0.000  0.000
Y  0.250  0.250  0.250


4.
Computed, not measured: a relaxed structure of PrHoZn2Pb2 at the GGA-PBE level of DFT.

Calculated values
Offset from the most stable computed form = 0.000 eV per atom

Cell lengths 4.620, 4.620, 16.456 Å; angles 90.00, 90.00, 120.00 degrees
Positions (direct):
Zn  0.667  0.333  0.668
Pb  0.333  0.667  0.884
Zn  0.667  0.333  0.832
Pr  0.000  0.000  0.000
Pb  0.333  0.667  0.616
Zn  0.333  0.667  0.332
Pr  0.000  0.000  0.500
Pb  0.667  0.333  0.116
Pb  0.667  0.333  0.384
Zn  0.333  0.667  0.168
Ho  0.000  0.000  0.750
Ho  0.000  0.000  0.250


5.
Computed, not measured: a relaxed structure of Nb2B2O5 at the GGA-PBE level of DFT.

Calculated values
Offset from the most stable computed form = 0.275 eV per atom

Cell lengths 7.354, 3.952, 3.952 Å; angles 90.00, 90.00, 90.00 degrees
Positions (direct):
B  0.500  0.000  0.000
O  0.219  0.500  0.000
O  0.500  0.500  0.500
O  0.219  0.000  0.500
Nb  0.233  0.500  0.500
Nb  0.767  0.500  0.500
B  0.000  0.000  0.000
O  0.781  0.000  0.500
O  0.781  0.500  0.000


6.
Computed, not measured: a relaxed structure of LiHfMg2Zn2Pt2 at the GGA-PBE level of DFT.

Calculated values
E_tot = -4.2076 eV/atom

Cell lengths 4.462, 4.462, 6.352 Å; angles 90.00, 90.00, 90.00 degrees
Positions (direct):
Zn  0.500  0.000  0.260
Hf  0.000  0.000  0.000
Mg  0.000  0.500  0.279
Li  0.500  0.500  0.500
Zn  0.000  0.500  0.740
Mg  0.500  0.000  0.721
Pt  0.000  0.000  0.500
Pt  0.500  0.500  0.000